# 1
ZnCdC4S4N4 | GGA-PBEsol | relaxed

Results
Calculated volume (Å³/cell): 280.7
Density of states at the Fermi level (states/eV per cell): 0.00
E (eV/f.u.): -92.0
Energy relative to the elements, uncorrected (eV per atom): 0.073

a b c (Å): 8.1437 8.1437 8.1437
angles (deg): 94.57 94.57 147.20
Closest atoms and distances in Å follow each position.
Atoms (fractional coordinates):
Zn  0.0000  0.0000  0.0000  4 N 1.94
Cd  0.2500  0.7500  0.5000  4 S 2.55
C  0.2950  0.5916  0.1552  1 N 1.18
C  0.4084  0.5636  0.7034  1 N 1.18
C  0.4364  0.1398  0.8448  1 N 1.18
C  0.8602  0.7050  0.2966  1 N 1.18
S  0.0999  0.3316  0.5440  1 C 1.64
S  0.4441  0.9001  0.2317  1 C 1.64
S  0.6684  0.2124  0.7683  1 C 1.64
S  0.7876  0.5559  0.4560  1 C 1.64
N  0.1906  0.3729  0.0959  1 C 1.18
N  0.2770  0.0948  0.9041  1 C 1.18
N  0.6271  0.7230  0.8178  1 C 1.18
N  0.9052  0.8094  0.1822  1 C 1.18

# 2
RbSO4 | GGA-PBEsol | relaxed

Results
Calculated volume (Å³/cell): 420.1
Density of states at the Fermi level (states/eV per cell): 22.65
E (eV/f.u.): -35.0
Energy relative to the elements, uncorrected (eV per atom): -1.435

a b c (Å): 7.3816 7.7622 9.4678
angles (deg): 90.00 129.25 90.00
Closest atoms and distances in Å follow each position.
Atoms (fractional coordinates):
Rb  0.2017  0.1559  0.2845  8 O 2.86-3.09
Rb  0.2017  0.3441  0.7845  8 O 2.86-3.09
Rb  0.7983  0.6559  0.2155  8 O 2.86-3.09
Rb  0.7983  0.8441  0.7155  8 O 2.86-3.09
S  0.2598  0.6656  0.1786  4 O 1.48-1.49
S  0.2598  0.8344  0.6786  4 O 1.48-1.49
S  0.7402  0.1656  0.3214  4 O 1.48-1.49
S  0.7402  0.3344  0.8214  4 O 1.48-1.49
O  0.0938  0.6912  0.6180  1 S 1.48
O  0.0938  0.8088  0.1180  1 S 1.48
O  0.1999  0.5208  0.2450  1 S 1.49
O  0.1999  0.9792  0.7450  1 S 1.49
O  0.2536  0.6081  0.0261  1 S 1.48
O  0.2536  0.8919  0.5261  1 S 1.48
O  0.4986  0.2207  0.1681  1 S 1.48
O  0.4986  0.2793  0.6681  1 S 1.48
O  0.5014  0.7207  0.3319  1 S 1.48
O  0.5014  0.7793  0.8319  1 S 1.48
O  0.7464  0.1081  0.4739  1 S 1.48
O  0.7464  0.3919  0.9739  1 S 1.48
O  0.8001  0.0208  0.2550  1 S 1.49
O  0.8001  0.4792  0.7550  1 S 1.49
O  0.9062  0.1912  0.8820  1 S 1.48
O  0.9062  0.3088  0.3820  1 S 1.48

# 3
TlFeSn2 | GGA-PBEsol | relaxed

Results
Calculated volume (Å³/cell): 358.5
Density of states at the Fermi level (states/eV per cell): 12.57
E (eV/f.u.): -18.0
ΔE_f (eV/f.u.): 2.12

a b c (Å): 7.1040 7.1040 7.1040
angles (deg): 90.00 90.00 90.00
Closest atoms and distances in Å follow each position.
Atoms (fractional coordinates):
Tl  0.0000  0.0000  0.0000  8 Sn 3.08
Tl  0.0000  0.5000  0.5000  8 Sn 3.08
Tl  0.5000  0.0000  0.5000  8 Sn 3.08
Tl  0.5000  0.5000  0.0000  8 Sn 3.08
Fe  0.0000  0.0000  0.5000  8 Sn 3.08
Fe  0.0000  0.5000  0.0000  8 Sn 3.08
Fe  0.5000  0.0000  0.0000  8 Sn 3.08
Fe  0.5000  0.5000  0.5000  8 Sn 3.08
Sn  0.2500  0.2500  0.2500  4 Fe 3.08, 4 Tl 3.08
Sn  0.2500  0.2500  0.7500  4 Tl 3.08, 4 Fe 3.08
Sn  0.2500  0.7500  0.2500  4 Tl 3.08, 4 Fe 3.08
Sn  0.2500  0.7500  0.7500  4 Fe 3.08, 4 Tl 3.08
Sn  0.7500  0.2500  0.2500  4 Tl 3.08, 4 Fe 3.08
Sn  0.7500  0.2500  0.7500  4 Fe 3.08, 4 Tl 3.08
Sn  0.7500  0.7500  0.2500  4 Tl 3.08, 4 Fe 3.08
Sn  0.7500  0.7500  0.7500  4 Tl 3.08, 4 Fe 3.08

# 4
TcP2SO | GGA-PBEsol | relaxed

Results
Calculated volume (Å³/cell): 64.5
Density of states at the Fermi level (states/eV per cell): 3.93
E (eV/f.u.): -29.9
Energy relative to the elements, uncorrected (eV per atom): 0.507

a b c (Å): 4.4778 4.4778 3.2166
angles (deg): 90.00 90.00 90.00
Closest atoms and distances in Å follow each position.
Atoms (fractional coordinates):
Tc  0.0000  0.0000  0.0000  8 P 2.76
P  0.0000  0.5000  0.5000  2 S 2.24
P  0.5000  0.0000  0.5000  2 S 2.24
S  0.5000  0.5000  0.5000  2 O 1.61
O  0.5000  0.5000  0.0000  2 S 1.61

# 5
Na2SrMgP2O8 | GGA-PBEsol | relaxed

Results
Calculated volume (Å³/cell): 324.7
Density of states at the Fermi level (states/eV per cell): 0.00
E (eV/f.u.): -96.3
Energy relative to the elements, uncorrected (eV per atom): -2.601

a b c (Å): 5.2547 5.2547 13.5013
angles (deg): 90.03 90.03 60.56
Closest atoms and distances in Å follow each position.
Atoms (fractional coordinates):
Na  0.1421  0.1927  0.0898  5 O 2.27-2.53
Na  0.1927  0.1421  0.5898  5 O 2.27-2.53
Na  0.8073  0.8579  0.4102  5 O 2.27-2.53
Na  0.8579  0.8073  0.9102  5 O 2.27-2.53
Sr  0.4371  0.5629  0.2500  8 O 2.56-2.78
Sr  0.5629  0.4371  0.7500  8 O 2.56-2.78
Mg  0.5000  0.5000  0.0000  6 O 2.05-2.08
Mg  0.5000  0.5000  0.5000  6 O 2.05-2.08
P  0.1466  0.1885  0.3671  4 O 1.53-1.56
P  0.1885  0.1466  0.8671  4 O 1.53-1.56
P  0.8115  0.8534  0.1329  4 O 1.53-1.56
P  0.8534  0.8115  0.6329  4 O 1.53-1.56
O  0.1094  0.6878  0.0775  1 P 1.56
O  0.1354  0.2113  0.7563  1 P 1.53
O  0.1856  0.6733  0.6110  1 P 1.55
O  0.2113  0.1354  0.2563  1 P 1.53
O  0.2563  0.3928  0.4087  1 P 1.55
O  0.3122  0.8906  0.4225  1 P 1.56
O  0.3267  0.8144  0.8890  1 P 1.55
O  0.3928  0.2563  0.9087  1 P 1.55
O  0.6072  0.7437  0.0913  1 P 1.55
O  0.6733  0.1856  0.1110  1 P 1.55
O  0.6878  0.1094  0.5775  1 P 1.56
O  0.7437  0.6072  0.5913  1 P 1.55
O  0.7887  0.8646  0.7437  1 P 1.53
O  0.8144  0.3267  0.3890  1 P 1.55
O  0.8646  0.7887  0.2437  1 P 1.53
O  0.8906  0.3122  0.9225  1 P 1.56

# 6
Na5Bi2AsC4O16 | GGA-PBEsol | relaxed

Results
Calculated volume (Å³/cell): 783.2
E (eV/f.u.): -184.2
Energy relative to the elements, uncorrected (eV per atom): -1.463

a b c (Å): 10.4461 10.3487 10.2513
angles (deg): 60.94 59.99 59.07
Closest atoms and distances in Å follow each position.
Atoms (fractional coordinates):
Na  0.1983  0.1983  0.8017  6 O 2.40-2.59
Na  0.1976  0.8024  0.1976  4 O 2.36-2.56
Na  0.1988  0.8012  0.8012  4 O 2.35-2.52
Na  0.5515  0.9485  0.9485  4 O 2.27-2.54
Na  0.5549  0.9451  0.5549  2 O 2.28
Na  0.8012  0.1988  0.1988  4 O 2.35-2.52
Na  0.8024  0.1976  0.8024  4 O 2.36-2.56
Na  0.8017  0.8017  0.1983  6 O 2.40-2.59
Na  0.9451  0.5549  0.9451  2 O 2.28
Na  0.9485  0.5515  0.5515  4 O 2.27-2.54
Bi  0.3631  0.8763  0.3840  6 O 2.33-2.40
Bi  0.3765  0.3840  0.8763  6 O 2.33-2.40
Bi  0.3840  0.3765  0.3631  6 O 2.33-2.40
Bi  0.8763  0.3631  0.3765  6 O 2.33-2.40
As  0.0000  0.0000  0.0000  4 O 1.72
As  0.7500  0.7500  0.7500  4 O 1.73
C  0.1340  0.5401  0.1643  3 O 1.29-1.30
C  0.1616  0.1643  0.5401  3 O 1.29-1.30
C  0.1643  0.1616  0.1340  3 O 1.29-1.30
C  0.2217  0.5874  0.6006  3 O 1.29-1.30
C  0.5401  0.1340  0.1616  3 O 1.29-1.30
C  0.5874  0.2217  0.5903  3 O 1.29-1.30
C  0.5903  0.6006  0.5874  3 O 1.29-1.30
C  0.6006  0.5903  0.2217  3 O 1.29-1.30
O  0.0051  0.5371  0.2864  1 C 1.30
O  0.0324  0.1743  0.5425  1 C 1.29
O  0.0323  0.2825  0.1424  1 C 1.30
O  0.1424  0.5428  0.0323  1 C 1.30
O  0.1713  0.2864  0.5371  1 C 1.30
O  0.1743  0.0324  0.2508  1 C 1.29
O  0.2031  0.9318  0.9320  1 As 1.72
O  0.2185  0.4663  0.7291  1 C 1.30
O  0.2228  0.5815  0.4762  1 C 1.30
O  0.2243  0.7113  0.5982  1 C 1.29
O  0.2508  0.5425  0.1743  1 C 1.29
O  0.2825  0.0323  0.5428  1 C 1.30
O  0.2864  0.1713  0.0051  1 C 1.30
O  0.4663  0.2185  0.5861  1 C 1.30
O  0.4661  0.5982  0.7113  1 C 1.29
O  0.4762  0.7196  0.2228  1 C 1.30
O  0.5371  0.0051  0.1713  1 C 1.30
O  0.5425  0.2508  0.0324  1 C 1.29
O  0.5428  0.1424  0.2825  1 C 1.30
O  0.5460  0.8336  0.8114  1 As 1.73
O  0.5815  0.2228  0.7196  1 C 1.30
O  0.5861  0.7291  0.4663  1 C 1.30
O  0.5982  0.4661  0.2243  1 C 1.29
O  0.7113  0.2243  0.4661  1 C 1.29
O  0.7196  0.4762  0.5815  1 C 1.30
O  0.7291  0.5861  0.2185  1 C 1.30
O  0.8089  0.8114  0.8336  1 As 1.73
O  0.8114  0.8089  0.5460  1 As 1.73
O  0.8336  0.5460  0.8089  1 As 1.73
O  0.9318  0.2031  0.9331  1 As 1.72
O  0.9320  0.9331  0.2031  1 As 1.72
O  0.9331  0.9320  0.9318  1 As 1.72

# 7
Cu2ReSe | GGA-PBEsol | relaxed

Results
Calculated volume (Å³/cell): 167.7
Density of states at the Fermi level (states/eV per cell): 6.92
E (eV/f.u.): -24.2
Energy relative to the elements, uncorrected (eV per atom): 0.401

a b c (Å): 2.7785 2.7785 25.0893
angles (deg): 90.00 90.00 120.00
Closest atoms and distances in Å follow each position.
Atoms (fractional coordinates):
Cu  0.0000  0.0000  0.2505  3 Re 2.63, 3 Se 2.64, 6 Cu 2.78
Cu  0.0000  0.0000  0.7495  3 Re 2.63, 3 Se 2.64, 6 Cu 2.78
Cu  0.3333  0.6667  0.4162  3 Re 2.63, 3 Se 2.64, 6 Cu 2.78
Cu  0.3333  0.6667  0.9171  3 Re 2.63, 3 Se 2.64, 6 Cu 2.78
Cu  0.6667  0.3333  0.0829  3 Re 2.63, 3 Se 2.64, 6 Cu 2.78
Cu  0.6667  0.3333  0.5838  3 Re 2.63, 3 Se 2.64, 6 Cu 2.78
Re  0.0000  0.0000  0.0000  6 Cu 2.63, 6 Re 2.78
Re  0.3333  0.6667  0.6667  6 Cu 2.63, 6 Re 2.78
Re  0.6667  0.3333  0.3333  6 Cu 2.63, 6 Re 2.78
Se  0.0000  0.0000  0.5000  6 Cu 2.64, 6 Se 2.78
Se  0.3333  0.6667  0.1667  6 Cu 2.64, 6 Se 2.78
Se  0.6667  0.3333  0.8333  6 Cu 2.64, 6 Se 2.78